Entry 1:
An optimized crystal structure of Tl2Ag2HgF6, computed with PBE-GGA.

Cell and atoms, written as extended XYZ:
```
11
Lattice="5.9875 -3.1647 0.0000 5.9875 3.1647 0.0000 -2.9950 0.0000 5.5663" Properties=species:S:1:pos:R:3 pbc="T T T"
Tl 2.4595 0.0000 0.8632
Tl 6.5205 0.0000 4.7031
Ag -0.1152 0.0000 2.3764
Ag 9.0952 0.0000 3.1899
Hg 5.9875 0.0000 0.0000
F 4.6784 1.6251 1.0647
F 0.9976 0.0000 4.3013
F 4.3016 1.6251 4.5016
F 4.6784 -1.6251 1.0647
F 7.9825 0.0000 1.2650
F 4.3016 -1.6251 4.5016
```

Output
The volume is 211.0 Å³ per cell. The space group is C2/m. The density of states at the Fermi level comes out at 0.000 states/eV per atom. The uncorrected formation energy is -1.379 eV/atom.


Entry 2:
An optimized crystal structure of TlAg2HgF6, computed with PBE-GGA.

Cell and atoms, written as extended XYZ:
```
20
Lattice="6.0911 0.0000 0.0000 0.0000 6.2508 0.0000 -6.0460 0.0000 8.8402" Properties=species:S:1:pos:R:3 pbc="T T T"
Tl 0.0000 0.0000 0.0000
Tl -3.0230 3.1254 4.4201
Ag -2.8882 0.4154 6.6460
Ag 0.1348 2.7099 2.2259
Ag -0.0897 3.5408 6.6143
Ag 2.9333 5.8353 2.1942
Hg 0.0226 0.0000 4.4201
Hg 3.0456 3.1254 0.0000
F -0.8265 0.4234 2.1802
F -3.8495 2.7020 6.6003
F 1.1328 4.3234 0.6946
F -1.8902 5.0527 5.1147
F 1.9260 1.1850 0.6171
F -1.0970 1.9404 5.0372
F 1.1421 4.3104 3.8030
F -1.8809 5.0657 8.2231
F 1.9353 1.1980 3.7255
F -1.0877 1.9273 8.1456
F 3.8946 3.5488 2.2399
F 0.8716 5.8274 6.6600
```

Output
The volume is 336.6 Å³ per cell. The space group is P2_1/c. The density of states at the Fermi level comes out at 0.215 states/eV per atom. The uncorrected formation energy is -1.338 eV/atom.


Entry 3:
An optimized crystal structure of TlAgHg2F8, computed with PBE-GGA.

Cell and atoms, written as extended XYZ:
```
12
Lattice="4.0108 0.0000 0.0000 0.0000 7.9986 0.0000 -0.0204 0.0000 5.6053" Properties=species:S:1:pos:R:3 pbc="T T T"
Tl 0.0000 0.0000 0.0000
Ag 0.0000 3.9993 0.0000
Hg 1.9952 2.0697 2.8026
Hg 1.9952 5.9289 2.8026
F -0.0081 1.7883 4.2055
F -0.0081 6.2103 4.2055
F 1.9915 3.9993 1.4129
F 1.9946 0.0000 1.3223
F 1.9958 0.0000 4.2830
F 1.9989 3.9993 4.1924
F 3.9985 1.7883 1.3998
F 3.9985 6.2103 1.3998
```

Output
The volume is 179.8 Å³ per cell. The space group is P2/m. The density of states at the Fermi level comes out at 0.202 states/eV per atom. The uncorrected formation energy is -1.477 eV/atom.


Entry 4:
An optimized crystal structure of Tl3Ag2HgF9, computed with PBE-GGA.

Cell and atoms, written as extended XYZ:
```
15
Lattice="6.3376 0.0000 0.0000 -3.1688 5.4886 0.0000 0.0000 0.0000 7.7988" Properties=species:S:1:pos:R:3 pbc="T T T"
Tl 0.0000 0.0000 0.0000
Tl 0.0000 3.6590 5.2727
Tl 3.1688 1.8295 2.5261
Ag 0.0000 3.6590 1.2519
Ag 3.1688 1.8295 6.5469
Hg 0.0000 0.0000 3.8994
F -1.5844 2.7443 0.0000
F 0.0000 1.8405 2.5421
F -1.5749 4.5683 2.5421
F 1.5939 0.9203 5.2567
F 3.1688 0.0000 0.0000
F 1.5844 2.7443 0.0000
F 1.5749 4.5683 2.5421
F 4.7437 0.9203 5.2567
F 3.1688 3.6481 5.2567
```

Output
The volume is 271.3 Å³ per cell. The space group is P-3m1. The density of states at the Fermi level comes out at 0.279 states/eV per atom. The uncorrected formation energy is -1.480 eV/atom.


Entry 5:
An optimized crystal structure of TlAg2HgF8, computed with PBE-GGA.

Cell and atoms, written as extended XYZ:
```
12
Lattice="-2.7942 2.7942 5.5740 2.7942 -2.7942 5.5740 2.7942 2.7942 -5.5740" Properties=species:S:1:pos:R:3 pbc="T T T"
Tl 0.0000 0.0000 0.0000
Ag 0.0000 0.0000 5.5740
Ag 0.0000 2.7942 2.7870
Hg 2.7942 0.0000 2.7870
F 1.3409 1.3480 -1.3461
F 1.4533 -1.4462 4.2279
F 1.3480 1.3409 1.3461
F 4.2404 1.3409 1.3461
F 1.3409 4.2404 -1.3461
F 1.4533 1.4462 4.2279
F -1.4462 1.4533 6.9201
F 1.4462 1.4533 6.9201
```

Output
The volume is 174.1 Å³ per cell. The space group is I-4m2. The density of states at the Fermi level comes out at 0.962 states/eV per atom. The uncorrected formation energy is -1.386 eV/atom.


Entry 6:
An optimized crystal structure of TlAgHgF4, computed with PBE-GGA.

Cell and atoms, written as extended XYZ:
```
14
Lattice="6.7219 0.0000 0.0000 0.0000 5.8745 0.0000 -2.2226 0.0000 7.1505" Properties=species:S:1:pos:R:3 pbc="T T T"
Tl 0.6187 1.4686 3.3892
Tl 3.8805 4.4059 3.7613
Ag 0.2482 1.4686 6.8719
Ag 4.2510 4.4059 0.2786
Hg 1.0920 4.4059 0.9949
Hg 3.4073 1.4686 6.1556
F -1.4343 1.4686 4.9092
F 0.2375 1.4686 0.7282
F 2.7215 2.9975 1.7103
F 2.7215 5.8142 1.7103
F 1.7778 0.0603 5.4402
F 1.7778 2.8770 5.4402
F 4.2618 4.4059 6.4223
F 5.9336 4.4059 2.2413
```

Output
The volume is 282.4 Å³ per cell. The space group is P2_1/m. The uncorrected formation energy is -1.339 eV/atom.


Entry 7:
An optimized crystal structure of TmAgHgF6, computed with PBE-GGA.

Cell and atoms, written as extended XYZ:
```
18
Lattice="6.0806 0.0000 0.0000 -3.0403 5.2659 0.0000 0.0000 0.0000 9.6940" Properties=species:S:1:pos:R:3 pbc="T T T"
Tm 0.0000 3.5106 2.4235
Tm 3.0403 1.7553 7.2705
Ag 0.0000 0.0000 0.0000
Ag 0.0000 0.0000 4.8470
Hg 0.0000 3.5106 7.2705
Hg 3.0403 1.7553 2.4235
F -0.9789 1.9468 1.2970
F -1.8438 3.4448 3.5500
F 0.9789 1.9468 3.5500
F -0.8649 5.1403 1.2970
F 2.1754 0.1256 6.1440
F 1.1965 1.8212 8.3970
F 1.8438 3.4448 1.2970
F 0.8649 5.1403 3.5500
F 3.9051 0.1256 8.3970
F 2.0614 3.3191 6.1440
F 4.8841 1.8212 6.1440
F 4.0192 3.3191 8.3970
```

Output
The volume is 310.4 Å³ per cell. The space group is P-31c. The uncorrected formation energy is -2.485 eV/atom.